[1]
Density functional theory data (PBE-GGA) for an optimized crystal structure of DyHfFe10.

a = 3.952 Å, b = 4.911 Å, c = 8.478 Å
α = 90.00°, β = 90.00°, γ = 90.00°
Space group Pmmm (No. 47)
Unique sites:
Dy 0.000 0.000 0.000 x1
Hf 0.000 0.500 0.500 x1
Fe 0.000 0.000 0.339 x2
Fe 0.000 0.500 0.173 x2
Fe 0.500 0.000 0.500 x1
Fe 0.500 0.253 0.256 x4
Fe 0.500 0.500 0.000 x1

Summary:
For the calculated total energy, the calculation gives -100.00 eV/f.u. As for the density of states at the Fermi level: 10.247 states/eV per cell.

[2]
Density functional theory data (PBE-GGA) for an optimized crystal structure of DyHfFeIr.

a = 6.593 Å, b = 6.593 Å, c = 6.593 Å
α = 90.00°, β = 90.00°, γ = 90.00°
Space group F-43m (No. 216)
Unique sites:
Dy 0.000 0.000 0.000 x4
Hf 0.000 0.000 0.500 x4
Fe 0.250 0.250 0.750 x4
Ir 0.250 0.250 0.250 x4

Summary:
For the calculated total energy, the calculation gives -33.68 eV/f.u. As for the density of states at the Fermi level: 10.292 states/eV per cell.

[3]
Density functional theory data (PBE-GGA) for an optimized crystal structure of DyHfFeNi.

a = 6.488 Å, b = 6.488 Å, c = 6.488 Å
α = 90.00°, β = 90.00°, γ = 90.00°
Space group F-43m (No. 216)
Unique sites:
Dy 0.000 0.000 0.000 x4
Hf 0.000 0.000 0.500 x4
Fe 0.250 0.250 0.750 x4
Ni 0.250 0.250 0.250 x4

Summary:
For the calculated total energy, the calculation gives -29.49 eV/f.u. As for the density of states at the Fermi level: 10.499 states/eV per cell.

[4]
Density functional theory data (PBE-GGA) for an optimized crystal structure of DyHfFeOs.

a = 6.563 Å, b = 6.563 Å, c = 6.563 Å
α = 90.00°, β = 90.00°, γ = 90.00°
Space group F-43m (No. 216)
Unique sites:
Dy 0.000 0.000 0.000 x4
Hf 0.000 0.000 0.500 x4
Fe 0.250 0.250 0.750 x4
Os 0.250 0.250 0.250 x4

Summary:
For the calculated total energy, the calculation gives -34.99 eV/f.u. As for the density of states at the Fermi level: 13.217 states/eV per cell.

Question: Number 2 is which compound?
Answer: DyHfFeIr